Entry from the Alexandria database: crystalline V2SiPb2 at its relaxed geometry (GGA-PBE).

Unit cell a=6.8809 b=6.8809 c=6.8809 alpha=144.21 beta=144.21 gamma=51.51
With the nearest neighbours (Å) after each atom.
Atoms (fractional coordinates):
V (0.0756, 0.0756, 0.0000)  1 V 1.87
V (0.9244, 0.9244, 0.0000)  1 V 1.87
Si (0.5000, 0.5000, 0.0000)  8 V 3.13
Pb (0.2500, 0.7500, 0.5000)  4 Pb 2.99, 4 V 3.02
Pb (0.7500, 0.2500, 0.5000)  4 Pb 2.99, 4 V 3.02

## Properties
The formation energy (no corrections) is 0.8680 eV/atom. As for the symmetry: No. 139.

=====

Entry from the Alexandria database: crystalline MnNbZnHg2 at its relaxed geometry (GGA-PBE).

Unit cell a=4.9303 b=4.9303 c=4.5663 alpha=90.00 beta=90.00 gamma=90.00
With the nearest neighbours (Å) after each atom.
Atoms (fractional coordinates):
Mn (0.0000, 0.0000, 0.0000)  2 Zn 2.28, 4 Hg 2.47
Nb (0.5000, 0.5000, 0.5000)  8 Hg 3.36, 4 Zn 3.49
Zn (0.0000, 0.0000, 0.5000)  2 Mn 2.28
Hg (0.0000, 0.5000, 0.0000)  2 Mn 2.47
Hg (0.5000, 0.0000, 0.0000)  2 Mn 2.47

## Properties
The energy of formation from the pure elements is 5.375 eV/f.u. As for the symmetry: No. 123.

=====

Entry from the Alexandria database: crystalline GeSeBr2 at its relaxed geometry (GGA-PBE).

Unit cell a=5.5637 b=5.5637 c=6.0904 alpha=99.59 beta=99.59 gamma=42.09
With the nearest neighbours (Å) after each atom.
Atoms (fractional coordinates):
Ge (0.0000, 0.0000, 0.0000)  1 Br 2.53, 2 Se 2.68
Se (0.4391, 0.4391, 0.7060)  1 Br 2.40, 2 Ge 2.68
Br (0.2455, 0.2455, 0.0254)  1 Ge 2.53
Br (0.6043, 0.6043, 0.4755)  1 Se 2.40

## Properties
The value obtained for the energy relative to the lowest polymorph listed for this composition is 5.02 kcal/mol of atoms. The formation energy (no corrections) is -0.2584 eV/atom. As for the symmetry: No. 8.